*P*
PBE BeTcSb3, optimized geometry; magnetic moment = 2.62 μB per formula unit
1.0
4.835 0.000 0.000
0.000 4.835 0.000
0.000 0.000 4.835
Be Tc Sb
1 1 3
Cartesian
0.000 0.000 0.000
2.417 2.417 2.417
0.000 0.000 2.417
0.000 2.417 0.000
2.417 0.000 0.000

***

*Q*
PBE BeTcSb3, optimized geometry; magnetic moment = 0.00 μB per formula unit
1.0
5.143 0.000 0.000
0.000 5.143 0.000
0.000 0.000 5.143
Be Tc Sb
1 1 3
Cartesian
0.000 0.000 0.000
2.571 2.571 2.571
0.000 2.571 2.571
2.571 0.000 2.571
2.571 2.571 0.000

***

Ranking the structures above by energy, *Q* is first and the second is 89 meV per atom behind.